1.
Below is an optimized crystal structure of ZrMnCd2, with properties calculated at the PBE level.

Output
Calculated volume (Å³/f.u.): 79
E above lowest polymorph (meV/atom): 120
Magnetization (μB per formula unit): 3.04
Final energy (eV per atom): -4.733

a = 5.1158 Å, b = 5.1158 Å, c = 5.1158 Å
α = 128.87°, β = 128.87°, γ = 75.23°
Fractional coordinates of all 4 atoms:
Cd: 0.0000 0.0000 0.0000
Cd: 0.2500 0.7500 0.5000
Mn: 0.5000 0.5000 0.0000
Zr: 0.7500 0.2500 0.5000



2.
Below is an optimized crystal structure of ZrMnCd4, with properties calculated at the PBE level.

Output
Calculated volume (Å³/f.u.): 125
Magnetization (μB per formula unit): 1.51
Final energy (eV per atom): -3.314

a = 5.6172 Å, b = 5.6172 Å, c = 5.6172 Å
α = 60.00°, β = 60.00°, γ = 60.00°
Fractional coordinates of all 6 atoms:
Zr: 0.0000 0.0000 0.0000
Cd: 0.3752 0.3752 0.8743
Mn: 0.7500 0.7500 0.7500
Cd: 0.3752 0.8743 0.3752
Cd: 0.3752 0.3752 0.3752
Cd: 0.8743 0.3752 0.3752



3.
Below is an optimized crystal structure of ZrMnCd2, with properties calculated at the PBE level.

Output
Calculated volume (Å³/f.u.): 81
E above lowest polymorph (meV/atom): 148
Magnetization (μB per formula unit): 3.73
Final energy (eV per atom): -4.706

a = 10.1407 Å, b = 10.1407 Å, c = 10.1407 Å
α = 17.39°, β = 17.39°, γ = 17.39°
Fractional coordinates of all 4 atoms:
Mn: 0.2500 0.2500 0.2500
Zr: 0.7500 0.7500 0.7500
Cd: 0.5061 0.5061 0.5061
Cd: 0.9939 0.9939 0.9939



| no. | ΔE_f (meV per atom) |
| --- | --- |
| 1 | 154 |
| 2 | 249 |
| 3 | 181 |